{
  "formula": "ReAs4Os",
  "functional": "SCAN",
  "state": "PBEsol geometry",
  "formation_energy_ev_per_atom": 1.448,
  "e_tot_ev_per_atom": -35.842,
  "crystal_system": "cubic",
  "lattice_angstrom": [[-1.4415, 0.5684, -4.9380], [-3.0329, -3.5483, -2.2352], [-4.9148, 1.1480, -1.1452]],
  "species": ["Re", "As", "As", "As", "As", "Os"],
  "frac_coords": [[0.0000, 0.0000, 0.0000], [0.8750, 0.3750, 0.3750], [0.3750, 0.3750, 0.3750], [0.3750, 0.3750, 0.8750], [0.3750, 0.8750, 0.3750], [0.7500, 0.7500, 0.7500]]
}